[1]
Here is crystalline Na12Cd3Br5 at its relaxed geometry from the Alexandria database. Energies are from PBE.

Calculated values
D(E_F) ... 40.641 states/eV/cell
Total energy ... -39.6 eV/f.u.
Formation energy without anion corrections ... -0.631 eV per atom
Space-group type ... Ia-3d, No. 230
Spin magnetization ... 1.4 μB per formula unit

Unit cell a=15.5154 b=15.5154 c=15.5154 alpha=109.47 beta=109.47 gamma=109.47
Atoms (fractional coordinates):
Na 0.4110 0.1312 0.5831
Na 0.7798 0.4519 0.3688
Na 0.1721 0.0890 0.7202
Na 0.6721 0.2202 0.5890
Na 0.0831 0.1721 0.4519
Na 0.5890 0.7202 0.6721
Na 0.9110 0.8279 0.7798
Na 0.2798 0.8688 0.9519
Na 0.9519 0.5831 0.1721
Na 0.0890 0.9169 0.3688
Na 0.2798 0.4110 0.8279
Na 0.8279 0.9110 0.2798
Na 0.0890 0.1721 0.2202
Na 0.3688 0.9519 0.7798
Na 0.2202 0.6721 0.0890
Na 0.6312 0.0481 0.2202
Na 0.1721 0.0831 0.9519
Na 0.6312 0.5831 0.9110
Na 0.7202 0.5890 0.1721
Na 0.5481 0.3279 0.9169
Na 0.4169 0.3688 0.5890
Na 0.8688 0.5890 0.9169
Na 0.5831 0.9519 0.6721
Na 0.3279 0.7798 0.4110
Na 0.5481 0.2202 0.1312
Na 0.4110 0.2798 0.3279
Na 0.1312 0.4110 0.0831
Na 0.3279 0.5481 0.4169
Na 0.4519 0.6721 0.0831
Na 0.2202 0.5481 0.6312
Na 0.5890 0.8688 0.4169
Na 0.0831 0.9110 0.1312
Na 0.6721 0.4519 0.5831
Na 0.7798 0.3279 0.9110
Na 0.4169 0.0481 0.3279
Na 0.5831 0.6312 0.4110
Na 0.7202 0.1312 0.0481
Na 0.9169 0.8279 0.5481
Na 0.8688 0.2798 0.4519
Na 0.4519 0.7798 0.8688
Na 0.0481 0.4169 0.8279
Na 0.8279 0.9169 0.0481
Na 0.9169 0.0890 0.8688
Na 0.9519 0.3688 0.2798
Na 0.3688 0.4169 0.0890
Na 0.0481 0.6312 0.7202
Na 0.9110 0.0831 0.6312
Na 0.1312 0.7202 0.5481
Br 0.3750 0.2500 0.1250
Br 0.7500 0.6250 0.3750
Br 0.5000 0.5000 0.5000
Br 0.1250 0.7500 0.3750
Br 0.6250 0.8750 0.2500
Br 0.7500 0.1250 0.8750
Br 0.5000 0.5000 0.0000
Br 0.8750 0.6250 0.7500
Br 0.0000 0.0000 0.5000
Br 0.8750 0.2500 0.6250
Br 0.5000 0.0000 0.0000
Br 0.6250 0.7500 0.8750
Br 0.0000 0.0000 0.0000
Br 0.2500 0.3750 0.6250
Br 0.0000 0.5000 0.0000
Br 0.2500 0.8750 0.1250
Br 0.3750 0.1250 0.7500
Br 0.5000 0.0000 0.5000
Br 0.0000 0.5000 0.5000
Br 0.1250 0.3750 0.2500
Cd 0.1250 0.2500 0.8750
Cd 0.7500 0.3750 0.1250
Cd 0.3750 0.6250 0.2500
Cd 0.2500 0.6250 0.8750
Cd 0.3750 0.7500 0.6250
Cd 0.1250 0.8750 0.7500
Cd 0.8750 0.7500 0.1250
Cd 0.7500 0.8750 0.6250
Cd 0.8750 0.1250 0.2500
Cd 0.2500 0.1250 0.3750
Cd 0.6250 0.2500 0.3750
Cd 0.6250 0.3750 0.7500


[2]
Here is crystalline Nd3Sm8Ho4 at its relaxed geometry from the Alexandria database. Energies are from PBE.

Calculated values
D(E_F) ... 23.823 states/eV/cell
Energy of formation ... 0.3434 eV/atom
Total energy ... -65.2 eV/f.u.
Space-group type ... C2/m, No. 12
Spin magnetization ... 0.0 μB per formula unit

Unit cell a=6.8886 b=9.2692 c=9.2692 alpha=82.27 beta=111.58 gamma=111.58
Atoms (fractional coordinates):
Nd 0.5000 0.5000 0.5000
Nd 0.5000 0.0000 0.5000
Nd 0.5000 0.5000 0.0000
Sm 0.1995 0.7041 0.7041
Sm 0.0000 0.2953 0.7047
Sm 0.0000 0.7047 0.2953
Sm 0.2517 0.2473 0.2473
Sm 0.7483 0.7527 0.7527
Sm 0.5000 0.2475 0.7525
Sm 0.8005 0.2959 0.2959
Sm 0.5000 0.7525 0.2475
Ho 0.0000 0.0000 0.0000
Ho 0.0000 0.0000 0.5000
Ho 0.0000 0.5000 0.0000
Ho 0.5000 0.0000 0.0000


[3]
Here is crystalline Pm4Pr5Pb at its relaxed geometry from the Alexandria database. Energies are from PBE.

Calculated values
D(E_F) ... 13.022 states/eV/cell
Energy of formation ... 0.0951 eV/atom
Total energy ... -45.7 eV/f.u.
Space-group type ... I4mm, No. 107
Spin magnetization ... 0.0 μB per formula unit

Unit cell a=6.2267 b=8.2061 c=8.2061 alpha=81.72 beta=67.70 gamma=67.70
Atoms (fractional coordinates):
Pr 0.1380 0.9997 0.6213
Pr 0.7590 0.0003 0.3787
Pr 0.1377 0.6213 0.0003
Pr 0.6793 0.0000 0.0000
Pr 0.7593 0.3787 0.9997
Pm 0.1477 0.3124 0.3127
Pm 0.4602 0.3127 0.6876
Pm 0.4604 0.6873 0.3124
Pm 0.7728 0.6876 0.6873
Pb 0.1959 0.0000 0.0000


[4]
Here is crystalline HfNbCr at its relaxed geometry from the Alexandria database. Energies are from PBE.

Calculated values
D(E_F) ... 7.923 states/eV/cell
Energy of formation ... 0.1588 eV/atom
Total energy ... -29.2 eV/f.u.
Relative energy among the computed polymorphs ... 0.152 eV per atom
Space-group type ... Fmmm, No. 69
Spin magnetization ... 0.0 μB per formula unit

Unit cell a=5.0607 b=5.0607 c=5.3448 alpha=105.58 beta=105.58 gamma=115.63
Atoms (fractional coordinates):
Hf 0.3271 0.6729 0.0000
Hf 0.6729 0.3271 0.0000
Nb 0.8319 0.8319 0.6638
Nb 0.1681 0.1681 0.3362
Cr 0.2500 0.7500 0.5000
Cr 0.7500 0.2500 0.5000


What did the second record say?
Here is crystalline Nd3Sm8Ho4 at its relaxed geometry from the Alexandria database. Energies are from PBE.

Calculated values
D(E_F) ... 23.823 states/eV/cell
Energy of formation ... 0.3434 eV/atom
Total energy ... -65.2 eV/f.u.
Space-group type ... C2/m, No. 12
Spin magnetization ... 0.0 μB per formula unit

Unit cell a=6.8886 b=9.2692 c=9.2692 alpha=82.27 beta=111.58 gamma=111.58
Atoms (fractional coordinates):
Nd 0.5000 0.5000 0.5000
Nd 0.5000 0.0000 0.5000
Nd 0.5000 0.5000 0.0000
Sm 0.1995 0.7041 0.7041
Sm 0.0000 0.2953 0.7047
Sm 0.0000 0.7047 0.2953
Sm 0.2517 0.2473 0.2473
Sm 0.7483 0.7527 0.7527
Sm 0.5000 0.2475 0.7525
Sm 0.8005 0.2959 0.2959
Sm 0.5000 0.7525 0.2475
Ho 0.0000 0.0000 0.0000
Ho 0.0000 0.0000 0.5000
Ho 0.0000 0.5000 0.0000
Ho 0.5000 0.0000 0.0000


Q: Look up the spin magnetization of the third one.
A: 0.0 μB per formula unit


Q: Look up the D(E_F) of the fourth one.
A: 7.923 states/eV/cell


Please write out number 1 again, unchanged.
Here is crystalline Na12Cd3Br5 at its relaxed geometry from the Alexandria database. Energies are from PBE.

Calculated values
D(E_F) ... 40.641 states/eV/cell
Total energy ... -39.6 eV/f.u.
Formation energy without anion corrections ... -0.631 eV per atom
Space-group type ... Ia-3d, No. 230
Spin magnetization ... 1.4 μB per formula unit

Unit cell a=15.5154 b=15.5154 c=15.5154 alpha=109.47 beta=109.47 gamma=109.47
Atoms (fractional coordinates):
Na 0.4110 0.1312 0.5831
Na 0.7798 0.4519 0.3688
Na 0.1721 0.0890 0.7202
Na 0.6721 0.2202 0.5890
Na 0.0831 0.1721 0.4519
Na 0.5890 0.7202 0.6721
Na 0.9110 0.8279 0.7798
Na 0.2798 0.8688 0.9519
Na 0.9519 0.5831 0.1721
Na 0.0890 0.9169 0.3688
Na 0.2798 0.4110 0.8279
Na 0.8279 0.9110 0.2798
Na 0.0890 0.1721 0.2202
Na 0.3688 0.9519 0.7798
Na 0.2202 0.6721 0.0890
Na 0.6312 0.0481 0.2202
Na 0.1721 0.0831 0.9519
Na 0.6312 0.5831 0.9110
Na 0.7202 0.5890 0.1721
Na 0.5481 0.3279 0.9169
Na 0.4169 0.3688 0.5890
Na 0.8688 0.5890 0.9169
Na 0.5831 0.9519 0.6721
Na 0.3279 0.7798 0.4110
Na 0.5481 0.2202 0.1312
Na 0.4110 0.2798 0.3279
Na 0.1312 0.4110 0.0831
Na 0.3279 0.5481 0.4169
Na 0.4519 0.6721 0.0831
Na 0.2202 0.5481 0.6312
Na 0.5890 0.8688 0.4169
Na 0.0831 0.9110 0.1312
Na 0.6721 0.4519 0.5831
Na 0.7798 0.3279 0.9110
Na 0.4169 0.0481 0.3279
Na 0.5831 0.6312 0.4110
Na 0.7202 0.1312 0.0481
Na 0.9169 0.8279 0.5481
Na 0.8688 0.2798 0.4519
Na 0.4519 0.7798 0.8688
Na 0.0481 0.4169 0.8279
Na 0.8279 0.9169 0.0481
Na 0.9169 0.0890 0.8688
Na 0.9519 0.3688 0.2798
Na 0.3688 0.4169 0.0890
Na 0.0481 0.6312 0.7202
Na 0.9110 0.0831 0.6312
Na 0.1312 0.7202 0.5481
Br 0.3750 0.2500 0.1250
Br 0.7500 0.6250 0.3750
Br 0.5000 0.5000 0.5000
Br 0.1250 0.7500 0.3750
Br 0.6250 0.8750 0.2500
Br 0.7500 0.1250 0.8750
Br 0.5000 0.5000 0.0000
Br 0.8750 0.6250 0.7500
Br 0.0000 0.0000 0.5000
Br 0.8750 0.2500 0.6250
Br 0.5000 0.0000 0.0000
Br 0.6250 0.7500 0.8750
Br 0.0000 0.0000 0.0000
Br 0.2500 0.3750 0.6250
Br 0.0000 0.5000 0.0000
Br 0.2500 0.8750 0.1250
Br 0.3750 0.1250 0.7500
Br 0.5000 0.0000 0.5000
Br 0.0000 0.5000 0.5000
Br 0.1250 0.3750 0.2500
Cd 0.1250 0.2500 0.8750
Cd 0.7500 0.3750 0.1250
Cd 0.3750 0.6250 0.2500
Cd 0.2500 0.6250 0.8750
Cd 0.3750 0.7500 0.6250
Cd 0.1250 0.8750 0.7500
Cd 0.8750 0.7500 0.1250
Cd 0.7500 0.8750 0.6250
Cd 0.8750 0.1250 0.2500
Cd 0.2500 0.1250 0.3750
Cd 0.6250 0.2500 0.3750
Cd 0.6250 0.3750 0.7500